A relaxed Mg2CdNi5B2 crystal, computed with PBE.

Cell: 9.0095 9.0095 2.9556 Å, 90.00 90.00 90.00°
Fractional positions:
Mg 0.1779 0.3221 0.0000
Mg 0.3221 0.8221 0.0000
Mg 0.6779 0.1779 0.0000
Mg 0.8221 0.6779 0.0000
Cd 0.0000 0.0000 0.0000
Cd 0.5000 0.5000 0.0000
Ni 0.0000 0.5000 0.5000
Ni 0.0699 0.7654 0.5000
Ni 0.2346 0.0699 0.5000
Ni 0.2654 0.5699 0.5000
Ni 0.4301 0.2654 0.5000
Ni 0.5000 0.0000 0.5000
Ni 0.5699 0.7346 0.5000
Ni 0.7346 0.4301 0.5000
Ni 0.7654 0.9301 0.5000
Ni 0.9301 0.2346 0.5000
B 0.1180 0.6180 0.0000
B 0.3820 0.1180 0.0000
B 0.6180 0.8820 0.0000
B 0.8820 0.3820 0.0000

Values from the calculation:
DFT total energy, eV/f.u.: -49.110
ΔE_f, eV per atom: -0.2744